# LiTl2 PBE optimized geometry
data_LiTl2
_symmetry_space_group_name_H-M 'P 1'
_symmetry_Int_Tables_number 1
_cell_length_a 6.359
_cell_length_b 6.359
_cell_length_c 6.359
_cell_angle_alpha 60.00
_cell_angle_beta 60.00
_cell_angle_gamma 60.00
loop_
_symmetry_equiv_pos_as_xyz
'x,y,z'
loop_
_atom_site_label
_atom_site_type_symbol
_atom_site_fract_x
_atom_site_fract_y
_atom_site_fract_z
Tl1 Tl 0.125 0.125 0.625
Tl2 Tl 0.625 0.125 0.125
Tl3 Tl 0.125 0.625 0.125
Tl4 Tl 0.125 0.125 0.125
Li1 Li 0.750 0.750 0.750
Li2 Li 0.500 0.500 0.500
# * E: -2.151 eV/atom
# * energy above the lowest structure with this stoichiometry: 199.8 meV per atom
# * ΔE_f: 0.06 eV/atom
# * magnetic moment: 0.000 μB/f.u.

=====

# BaMgPt2O8 PBE optimized geometry
data_BaMgPt2O8
_symmetry_space_group_name_H-M 'P 1'
_symmetry_Int_Tables_number 1
_cell_length_a 5.441
_cell_length_b 5.441
_cell_length_c 6.629
_cell_angle_alpha 90.00
_cell_angle_beta 90.00
_cell_angle_gamma 120.00
loop_
_symmetry_equiv_pos_as_xyz
'x,y,z'
loop_
_atom_site_label
_atom_site_type_symbol
_atom_site_fract_x
_atom_site_fract_y
_atom_site_fract_z
Mg1 Mg 0.000 0.000 0.000
O1 O 0.366 0.312 0.863
O2 O 0.054 0.366 0.137
O3 O 0.333 0.667 0.656
O4 O 0.634 0.688 0.137
O5 O 0.312 0.946 0.137
O6 O 0.946 0.634 0.863
O7 O 0.667 0.333 0.344
O8 O 0.688 0.054 0.863
Pt1 Pt 0.667 0.333 0.049
Pt2 Pt 0.333 0.667 0.951
Ba1 Ba 0.000 0.000 0.500
# * E: -5.445 eV/atom
# * energy relative to the elements, uncorrected: -0.84 eV per atom
# * magnetic moment: 0.000 μB/f.u.

=====

Which value of magnetic moment does entry 2 give?
0.000 μB/f.u.

=====

The highest E belongs to which entry?
LiTl2

=====

Among the records above, which one has the lowest E?
BaMgPt2O8

=====

Among the records above, which one has the highest E?
LiTl2